# 1
Density functional theory data (GGA-PBE) for crystalline MnCuGe at its relaxed geometry.

The structure in POSCAR format:
```
MnCuGe
1.0
6.2204 0.0000 0.0000
-3.1102 5.3870 0.0000
0.0000 0.0000 3.7960
Mn Cu Ge
3 3 3
direct
0.0000 0.5740 0.0000
0.4260 0.4260 0.0000
0.5740 0.0000 0.0000
0.0000 0.2446 0.5000
0.2446 0.0000 0.5000
0.7554 0.7554 0.5000
0.0000 0.0000 0.0000
0.3333 0.6667 0.5000
0.6667 0.3333 0.5000
```

Computed properties:
The space group is No. 189. The value obtained for the mass density is 7.49 Mg/m³. The energy of formation from the pure elements comes out at 0.05 eV per formula unit. For the volume, the calculation gives 14.13 Å³/atom.

***

# 2
Density functional theory data (GGA-PBE) for crystalline MnCuGe2 at its relaxed geometry.

The structure in POSCAR format:
```
MnCuGe2
1.0
4.5251 0.0000 0.0000
0.0000 4.5251 0.0000
0.0000 0.0000 2.8695
Mn Cu Ge
1 1 2
direct
0.0000 0.0000 0.0000
0.5000 0.5000 0.0000
0.0000 0.5000 0.5000
0.5000 0.0000 0.5000
```

Computed properties:
The space group is No. 123. The value obtained for the mass density is 7.45 Mg/m³. The energy of formation from the pure elements comes out at 0.57 eV per formula unit. For the volume, the calculation gives 14.69 Å³/atom.

***

# 3
Density functional theory data (GGA-PBE) for crystalline MnCuGe2 at its relaxed geometry.

The structure in POSCAR format:
```
MnCuGe2
1.0
6.2057 0.0000 0.0000
0.0000 6.2057 0.0000
0.0000 0.0000 6.2057
Mn Cu Ge
4 4 8
direct
0.0000 0.0000 0.0000
0.0000 0.5000 0.5000
0.5000 0.0000 0.5000
0.5000 0.5000 0.0000
0.0000 0.0000 0.5000
0.0000 0.5000 0.0000
0.5000 0.0000 0.0000
0.5000 0.5000 0.5000
0.2500 0.2500 0.2500
0.2500 0.2500 0.7500
0.2500 0.7500 0.2500
0.2500 0.7500 0.7500
0.7500 0.2500 0.2500
0.7500 0.2500 0.7500
0.7500 0.7500 0.2500
0.7500 0.7500 0.7500
```

Computed properties:
The space group is No. 225. The value obtained for the mass density is 7.33 Mg/m³. The energy of formation from the pure elements comes out at 0.93 eV per formula unit. For the volume, the calculation gives 14.94 Å³/atom.